[1]
The following is a DFT calculation (PBEsol) of a relaxed structure of Ho2Fe17N3.

Cell lengths 8.202, 8.439, 8.439 Å; angles 120.00, 90.00, 90.00 degrees
Fractional positions:
Ho 0.250 0.333 0.667
Ho 0.750 0.667 0.333
Ho 0.250 0.000 0.000
Ho 0.750 0.000 0.000
Fe 0.250 0.946 0.619
Fe 0.750 0.054 0.381
Fe 0.250 0.673 0.054
Fe 0.750 0.619 0.946
Fe 0.750 0.327 0.946
Fe 0.250 0.381 0.054
Fe 0.250 0.381 0.327
Fe 0.750 0.054 0.673
Fe 0.750 0.619 0.673
Fe 0.250 0.946 0.327
Fe 0.750 0.327 0.381
Fe 0.250 0.673 0.619
Fe 0.892 0.333 0.667
Fe 0.108 0.667 0.333
Fe 0.392 0.667 0.333
Fe 0.608 0.333 0.667
Fe 0.479 0.663 0.831
Fe 0.521 0.337 0.169
Fe 0.479 0.169 0.337
Fe 0.979 0.337 0.169
Fe 0.521 0.831 0.663
Fe 0.021 0.663 0.831
Fe 0.479 0.169 0.831
Fe 0.979 0.831 0.663
Fe 0.521 0.831 0.169
Fe 0.021 0.169 0.337
Fe 0.979 0.831 0.169
Fe 0.021 0.169 0.831
Fe 0.500 0.000 0.500
Fe 0.500 0.500 0.000
Fe 0.000 0.000 0.500
Fe 0.500 0.500 0.500
Fe 0.000 0.500 0.000
Fe 0.000 0.500 0.500
N 0.250 0.671 0.835
N 0.750 0.329 0.165
N 0.250 0.165 0.329
N 0.750 0.835 0.671
N 0.250 0.165 0.835
N 0.750 0.835 0.165

Properties
Total energy in eV/atom: -8.80
Raw formation energy in eV/atom: -0.264
Theoretical density in g cm⁻³: 8.674
Space group: No. 194

[2]
The following is a DFT calculation (PBEsol) of a relaxed structure of Mn2IrSe.

Cell lengths 2.784, 2.784, 6.566 Å; angles 90.00, 90.00, 90.00 degrees
Fractional positions:
Ir 0.500 0.500 0.500
Mn 0.000 0.000 0.761
Mn 0.000 0.000 0.239
Se 0.500 0.500 0.000

Properties
Total energy in eV/atom: -8.19
Raw formation energy in eV/atom: 0.107
Theoretical density in g cm⁻³: 12.432
Space group: No. 123

[3]
The following is a DFT calculation (PBEsol) of a relaxed structure of Fe3TcS.

Cell lengths 4.025, 4.025, 4.025 Å; angles 90.00, 90.00, 90.00 degrees
Fractional positions:
S 0.000 0.000 0.000
Tc 0.500 0.500 0.500
Fe 0.000 0.500 0.000
Fe 0.000 0.000 0.500
Fe 0.500 0.000 0.000

Properties
Total energy in eV/atom: -7.95
Raw formation energy in eV/atom: 0.556
Theoretical density in g cm⁻³: 7.579
Space group: No. 221

[4]
The following is a DFT calculation (PBEsol) of a relaxed structure of Cd2IrBr.

Cell lengths 3.039, 3.039, 8.430 Å; angles 90.00, 90.00, 90.00 degrees
Fractional positions:
Ir 0.000 0.000 0.496
Br 0.500 0.500 0.708
Cd 0.000 0.000 0.014
Cd 0.500 0.500 0.282

Properties
Total energy in eV/atom: -3.07
Raw formation energy in eV/atom: 0.453
Theoretical density in g cm⁻³: 10.598
Energy above the most stable polymorph in this dataset in eV per atom: 0.189
Space group: No. 99